A plane-wave DFT calculation with SCAN was carried out for InTcSe2 at its PBEsol-relaxed geometry.

a b c (Å): 3.054 4.640 11.464
angles (deg): 90.00 90.00 90.00
Space group Amm2 (No. 38)
Asymmetric unit:
In (0.000, 0.000, 0.000) (multiplicity 2)
Tc (0.500, 0.000, 0.476) (multiplicity 2)
Se (0.000, 0.000, 0.311) (multiplicity 2)
Se (0.500, 0.000, 0.687) (multiplicity 2)

Summary:
VASP energy (eV per cell): -217.0
Raw formation energy (eV/atom): 0.024

---

A plane-wave DFT calculation with SCAN was carried out for InTcSe3 at its PBEsol-relaxed geometry.

a b c (Å): 4.867 4.867 4.867
angles (deg): 90.00 90.00 90.00
Space group Pm-3m (No. 221)
Asymmetric unit:
In (0.000, 0.000, 0.000) (multiplicity 1)
Tc (0.500, 0.500, 0.500) (multiplicity 1)
Se (0.000, 0.500, 0.500) (multiplicity 3)

Summary:
VASP energy (eV per cell): -127.9
Raw formation energy (eV/atom): 0.160

---

A plane-wave DFT calculation with SCAN was carried out for InTcSe2 at its PBEsol-relaxed geometry.

a b c (Å): 6.620 6.620 6.620
angles (deg): 90.00 90.00 90.00
Space group F-43m (No. 216)
Asymmetric unit:
In (0.000, 0.000, 0.000) (multiplicity 4)
Tc (0.250, 0.250, 0.750) (multiplicity 4)
Se (0.000, 0.000, 0.500) (multiplicity 4)
Se (0.250, 0.250, 0.250) (multiplicity 4)

Summary:
VASP energy (eV per cell): -421.6
Raw formation energy (eV/atom): 0.800

---

A plane-wave DFT calculation with SCAN was carried out for InTcSe2 at its PBEsol-relaxed geometry.

a b c (Å): 3.1931 3.1931 27.2270
angles (deg): 90.00 90.00 120.00
Space group R3m (No. 160, hexagonal axes)
Asymmetric unit:
In (0.0000, 0.0000, 0.0000) (multiplicity 3)
Tc (0.0000, 0.0000, 0.2533) (multiplicity 3)
Se (0.0000, 0.0000, 0.5287) (multiplicity 3)
Se (0.0000, 0.0000, 0.7450) (multiplicity 3)

Summary:
VASP energy (eV per cell): -326.9
Raw formation energy (eV/atom): -0.089

---

A plane-wave DFT calculation with SCAN was carried out for InTcSe2 at its PBEsol-relaxed geometry.

a b c (Å): 3.050 3.050 8.248
angles (deg): 90.00 90.00 90.00
Space group P4mm (No. 99)
Asymmetric unit:
In (0.000, 0.000, 0.000) (multiplicity 1)
Tc (0.500, 0.500, 0.764) (multiplicity 1)
Se (0.000, 0.000, 0.606) (multiplicity 1)
Se (0.500, 0.500, 0.261) (multiplicity 1)

Summary:
VASP energy (eV per cell): -108.5
Raw formation energy (eV/atom): 0.029

---

A plane-wave DFT calculation with SCAN was carried out for InTc3Se at its PBEsol-relaxed geometry.

a b c (Å): 4.501 4.501 4.501
angles (deg): 90.00 90.00 90.00
Space group Pm-3m (No. 221)
Asymmetric unit:
In (0.000, 0.000, 0.000) (multiplicity 1)
Tc (0.000, 0.500, 0.500) (multiplicity 3)
Se (0.500, 0.500, 0.500) (multiplicity 1)

Summary:
VASP energy (eV per cell): -154.2
Raw formation energy (eV/atom): 0.881

---

A plane-wave DFT calculation with SCAN was carried out for InTcSe at its PBEsol-relaxed geometry.

a b c (Å): 6.261 6.261 6.261
angles (deg): 90.00 90.00 90.00
Space group F-43m (No. 216)
Asymmetric unit:
In (0.000, 0.000, 0.000) (multiplicity 4)
Tc (0.000, 0.000, 0.500) (multiplicity 4)
Se (0.250, 0.250, 0.750) (multiplicity 4)

Summary:
VASP energy (eV per cell): -344.8
Raw formation energy (eV/atom): 0.777

---

A plane-wave DFT calculation with SCAN was carried out for In2TeSe at its PBEsol-relaxed geometry.

a b c (Å): 4.206 4.206 6.122
angles (deg): 90.00 90.00 90.00
Space group P4mm (No. 99)
Asymmetric unit:
In (0.000, 0.000, 0.000) (multiplicity 1)
In (0.500, 0.500, 0.456) (multiplicity 1)
Te (0.500, 0.500, 0.950) (multiplicity 1)
Se (0.000, 0.000, 0.456) (multiplicity 1)

Summary:
VASP energy (eV per cell): -125.5
Raw formation energy (eV/atom): -0.362

---

A plane-wave DFT calculation with SCAN was carried out for InTeSe3 at its PBEsol-relaxed geometry.

a b c (Å): 5.316 5.316 5.316
angles (deg): 90.00 90.00 90.00
Space group Pm-3m (No. 221)
Asymmetric unit:
In (0.000, 0.000, 0.000) (multiplicity 1)
Te (0.500, 0.500, 0.500) (multiplicity 1)
Se (0.000, 0.500, 0.500) (multiplicity 3)

Summary:
VASP energy (eV per cell): -129.8
Raw formation energy (eV/atom): 0.210

---

A plane-wave DFT calculation with SCAN was carried out for InTe2Se at its PBEsol-relaxed geometry.

a b c (Å): 3.586 3.586 7.667
angles (deg): 90.00 90.00 90.00
Space group P4/mmm (No. 123)
Asymmetric unit:
In (0.000, 0.000, 0.000) (multiplicity 1)
Te (0.500, 0.500, 0.256) (multiplicity 2)
Se (0.000, 0.000, 0.500) (multiplicity 1)

Summary:
VASP energy (eV per cell): -127.0
Raw formation energy (eV/atom): 0.252

---

A plane-wave DFT calculation with SCAN was carried out for In3TeSe at its PBEsol-relaxed geometry.

a b c (Å): 5.635 5.635 5.635
angles (deg): 90.00 90.00 90.00
Space group Pm-3m (No. 221)
Asymmetric unit:
In (0.000, 0.000, 0.500) (multiplicity 3)
Te (0.000, 0.000, 0.000) (multiplicity 1)
Se (0.500, 0.500, 0.500) (multiplicity 1)

Summary:
VASP energy (eV per cell): -155.2
Raw formation energy (eV/atom): 0.452

---

A plane-wave DFT calculation with SCAN was carried out for InTe2Se at its PBEsol-relaxed geometry.

a b c (Å): 2.904 6.268 6.052
angles (deg): 90.00 90.12 90.00
Space group P2/m (No. 10)
Asymmetric unit:
In (0.000, 0.000, 0.000) (multiplicity 1)
Te (0.494, 0.500, 0.754) (multiplicity 2)
Se (0.000, 0.000, 0.500) (multiplicity 1)

Summary:
VASP energy (eV per cell): -127.4
Raw formation energy (eV/atom): 0.153

---

A plane-wave DFT calculation with SCAN was carried out for In2TeSe at its PBEsol-relaxed geometry.

a b c (Å): 3.000 5.940 6.035
angles (deg): 90.00 90.00 90.00
Space group Pmmm (No. 47)
Asymmetric unit:
In (0.000, 0.000, 0.000) (multiplicity 1)
In (0.500, 0.500, 0.500) (multiplicity 1)
Te (0.000, 0.000, 0.500) (multiplicity 1)
Se (0.500, 0.500, 0.000) (multiplicity 1)

Summary:
VASP energy (eV per cell): -124.6
Raw formation energy (eV/atom): -0.126

---

A plane-wave DFT calculation with SCAN was carried out for In2TeSe at its PBEsol-relaxed geometry.

a b c (Å): 3.618 3.618 7.630
angles (deg): 90.00 90.00 90.00
Space group P4/mmm (No. 123)
Asymmetric unit:
In (0.000, 0.000, 0.225) (multiplicity 2)
Te (0.500, 0.500, 0.500) (multiplicity 1)
Se (0.500, 0.500, 0.000) (multiplicity 1)

Summary:
VASP energy (eV per cell): -124.5
Raw formation energy (eV/atom): -0.093

---

A plane-wave DFT calculation with SCAN was carried out for TlIn2Se at its PBEsol-relaxed geometry.

a b c (Å): 3.713 5.384 10.374
angles (deg): 90.00 90.00 90.00
Space group Immm (No. 71)
Asymmetric unit:
Tl (0.000, 0.000, 0.000) (multiplicity 2)
In (0.000, 0.500, 0.218) (multiplicity 4)
Se (0.000, 0.000, 0.500) (multiplicity 2)

Summary:
VASP energy (eV per cell): -319.8
Raw formation energy (eV/atom): -0.172

---

A plane-wave DFT calculation with SCAN was carried out for TlInSe at its PBEsol-relaxed geometry.

a b c (Å): 4.1059 4.1059 5.7357
angles (deg): 90.00 90.00 120.00
Space group P3m1 (No. 156)
Asymmetric unit:
Tl (0.0000, 0.0000, 0.0000) (multiplicity 1)
In (0.6667, 0.3333, 0.6103) (multiplicity 1)
Se (0.3333, 0.6667, 0.3450) (multiplicity 1)

Summary:
VASP energy (eV per cell): -126.9
Raw formation energy (eV/atom): -0.359

---

A plane-wave DFT calculation with SCAN was carried out for TlIn2Se at its PBEsol-relaxed geometry.

a b c (Å): 6.067 10.746 4.296
angles (deg): 90.00 132.06 90.00
Space group C2/m (No. 12)
Asymmetric unit:
Tl (0.000, 0.000, 0.000) (multiplicity 2)
In (0.250, 0.250, 0.500) (multiplicity 4)
Se (0.000, 0.500, 0.000) (multiplicity 2)

Summary:
VASP energy (eV per cell): -319.6
Raw formation energy (eV/atom): -0.152

---

A plane-wave DFT calculation with SCAN was carried out for TlIn5Se7 at its PBEsol-relaxed geometry.

a b c (Å): 9.399 4.056 17.680
angles (deg): 90.00 100.80 90.00
Space group P2_1/m (No. 11)
Asymmetric unit:
Tl (0.036, 0.250, 0.230) (multiplicity 2)
In (0.149, 0.750, 0.454) (multiplicity 2)
In (0.172, 0.250, 0.035) (multiplicity 2)
In (0.317, 0.750, 0.690) (multiplicity 2)
In (0.443, 0.250, 0.381) (multiplicity 2)
In (0.482, 0.250, 0.896) (multiplicity 2)
Se (0.030, 0.750, 0.093) (multiplicity 2)
Se (0.053, 0.750, 0.592) (multiplicity 2)
Se (0.251, 0.250, 0.776) (multiplicity 2)
Se (0.265, 0.750, 0.324) (multiplicity 2)
Se (0.330, 0.750, 0.968) (multiplicity 2)
Se (0.340, 0.250, 0.511) (multiplicity 2)
Se (0.380, 0.250, 0.161) (multiplicity 2)

Summary:
VASP energy (eV per cell): -775.0
Raw formation energy (eV/atom): -0.589

---

A plane-wave DFT calculation with SCAN was carried out for TlIn2Se at its PBEsol-relaxed geometry.

a b c (Å): 5.549 3.824 5.575
angles (deg): 90.00 113.21 90.00
Space group P2/m (No. 10)
Asymmetric unit:
Tl (0.000, 0.000, 0.000) (multiplicity 1)
In (0.277, 0.500, 0.724) (multiplicity 2)
Se (0.500, 0.000, 0.500) (multiplicity 1)

Summary:
VASP energy (eV per cell): -160.1
Raw formation energy (eV/atom): -0.219

---

A plane-wave DFT calculation with SCAN was carried out for TlInSe at its PBEsol-relaxed geometry.

a b c (Å): 3.677 3.677 11.452
angles (deg): 90.00 90.00 90.00
Space group I4mm (No. 107)
Asymmetric unit:
Tl (0.000, 0.000, 0.000) (multiplicity 2)
In (0.000, 0.000, 0.701) (multiplicity 2)
Se (0.000, 0.000, 0.321) (multiplicity 2)

Summary:
VASP energy (eV per cell): -253.2
Raw formation energy (eV/atom): -0.264

---

A plane-wave DFT calculation with SCAN was carried out for TlIn2Se at its PBEsol-relaxed geometry.

a b c (Å): 3.9013 3.9013 24.3933
angles (deg): 90.00 90.00 120.00
Space group R-3m (No. 166, hexagonal axes)
Asymmetric unit:
Tl (0.0000, 0.0000, 0.0000) (multiplicity 3)
In (0.0000, 0.0000, 0.2407) (multiplicity 6)
Se (0.0000, 0.0000, 0.5000) (multiplicity 3)

Summary:
VASP energy (eV per cell): -480.4
Raw formation energy (eV/atom): -0.229

---

A plane-wave DFT calculation with SCAN was carried out for Tl3In5Se8 at its PBEsol-relaxed geometry.

a b c (Å): 7.945 7.945 6.784
angles (deg): 90.00 90.00 90.00
Space group P422 (No. 89)
Asymmetric unit:
Tl (0.000, 0.000, 0.000) (multiplicity 1)
Tl (0.000, 0.000, 0.500) (multiplicity 1)
Tl (0.500, 0.500, 0.000) (multiplicity 1)
In (0.000, 0.500, 0.000) (multiplicity 2)
In (0.000, 0.500, 0.500) (multiplicity 2)
In (0.500, 0.500, 0.500) (multiplicity 1)
Se (0.179, 0.323, 0.749) (multiplicity 8)

Summary:
VASP energy (eV per cell): -553.7
Raw formation energy (eV/atom): -0.567

---

A plane-wave DFT calculation with SCAN was carried out for InWSe2 at its PBEsol-relaxed geometry.

a b c (Å): 3.079 3.079 8.666
angles (deg): 90.00 90.00 90.00
Space group P4/mmm (No. 123)
Asymmetric unit:
In (0.000, 0.000, 0.000) (multiplicity 1)
W (0.000, 0.000, 0.500) (multiplicity 1)
Se (0.500, 0.500, 0.324) (multiplicity 2)

Summary:
VASP energy (eV per cell): -143.2
Raw formation energy (eV/atom): 0.003

---

A plane-wave DFT calculation with SCAN was carried out for YIn2Se at its PBEsol-relaxed geometry.

a b c (Å): 4.530 4.530 9.080
angles (deg): 90.00 90.00 90.00
Space group I-4m2 (No. 119)
Asymmetric unit:
Y (0.000, 0.000, 0.000) (multiplicity 2)
In (0.000, 0.000, 0.500) (multiplicity 2)
In (0.000, 0.500, 0.250) (multiplicity 2)
Se (0.000, 0.500, 0.750) (multiplicity 2)

Summary:
VASP energy (eV per cell): -234.3
Raw formation energy (eV/atom): -0.619

---

A plane-wave DFT calculation with SCAN was carried out for YIn2Se at its PBEsol-relaxed geometry.

a b c (Å): 3.790 4.333 5.955
angles (deg): 90.00 90.00 90.00
Space group Pmmm (No. 47)
Asymmetric unit:
Y (0.000, 0.000, 0.000) (multiplicity 1)
In (0.000, 0.500, 0.500) (multiplicity 1)
In (0.500, 0.000, 0.500) (multiplicity 1)
Se (0.500, 0.500, 0.000) (multiplicity 1)

Summary:
VASP energy (eV per cell): -117.6
Raw formation energy (eV/atom): -0.730

---

A plane-wave DFT calculation with SCAN was carried out for ZnIn2Se4 at its PBEsol-relaxed geometry.

a b c (Å): 11.110 11.110 11.110
angles (deg): 90.00 90.00 90.00
Space group Fd-3m (No. 227, origin choice 2)
Asymmetric unit:
Zn (0.125, 0.125, 0.125) (multiplicity 8)
In (0.000, 0.000, 0.500) (multiplicity 16)
Se (0.004, 0.004, 0.746) (multiplicity 32)

Summary:
VASP energy (eV per cell): -1320.1
Raw formation energy (eV/atom): -0.630

---

A plane-wave DFT calculation with SCAN was carried out for ZnIn2Se4 at its PBEsol-relaxed geometry.

a b c (Å): 5.737 5.737 11.265
angles (deg): 90.00 90.00 90.00
Space group I-42m (No. 121)
Asymmetric unit:
Zn (0.000, 0.000, 0.000) (multiplicity 2)
In (0.000, 0.500, 0.250) (multiplicity 4)
Se (0.235, 0.235, 0.606) (multiplicity 8)

Summary:
VASP energy (eV per cell): -330.7
Raw formation energy (eV/atom): -0.681

---

A plane-wave DFT calculation with SCAN was carried out for ZnIn3Se at its PBEsol-relaxed geometry.

a b c (Å): 5.403 5.403 5.403
angles (deg): 90.00 90.00 90.00
Space group Pm-3m (No. 221)
Asymmetric unit:
Zn (0.000, 0.000, 0.000) (multiplicity 1)
In (0.000, 0.500, 0.500) (multiplicity 3)
Se (0.500, 0.500, 0.500) (multiplicity 1)

Summary:
VASP energy (eV per cell): -131.0
Raw formation energy (eV/atom): 0.558